VASP calculation (PBE+U) on crystalline Y2MnO4 at its relaxed geometry.

Lattice parameters (Å, degrees): 3.919 3.919 12.076 90.00 90.00 90.00
Space group I4/mmm (No. 139)
One atom of each set of equivalent atoms:
1 Y 0.000 0.000 0.139 [4 per cell]
2 Mn 0.000 0.000 0.500 [2 per cell]
3 O 0.000 0.000 0.314 [4 per cell]
4 O 0.000 0.500 0.000 [4 per cell]

## Properties
Spin magnetization, Bohr magnetons per cell: 9.61
Total DFT energy (no corrections), eV/cell: -117.190